Record 1
First-principles (PBE) data for crystalline Mg2Ni21P6 at its relaxed geometry, as listed in Alexandria via LeMat-Bulk.

```
29
Lattice="0.000 5.534 5.534 5.534 0.000 5.534 5.534 5.534 0.000" Properties=species:S:1:pos:R:3 pbc="T T T"
Mg 2.767 2.767 2.767
Mg 8.300 8.300 8.300
Ni 0.000 0.000 0.000
Ni 1.925 1.925 0.000
Ni 3.609 3.609 0.000
Ni 1.925 0.000 1.925
Ni 5.534 3.609 1.925
Ni 3.609 0.000 3.609
Ni 5.534 1.925 3.609
Ni 6.814 4.254 4.254
Ni 0.000 1.925 1.925
Ni 3.609 5.534 1.925
Ni 3.609 1.925 5.534
Ni 4.254 4.254 4.254
Ni 6.814 6.814 4.254
Ni 6.814 4.254 6.814
Ni 4.254 6.814 4.254
Ni 4.254 4.254 6.814
Ni 6.814 6.814 6.814
Ni 0.000 3.609 3.609
Ni 1.925 5.534 3.609
Ni 1.925 3.609 5.534
Ni 4.254 6.814 6.814
P 5.534 5.534 2.912
P 5.534 2.912 5.534
P 8.155 5.534 5.534
P 2.912 5.534 5.534
P 5.534 8.155 5.534
P 5.534 5.534 8.155
```

Calculated values
Final energy (eV/atom): -5.852
Total moment (μB/atom): 0.000

---

Record 2
First-principles (PBE) data for crystalline MgNiP2 at its relaxed geometry, as listed in Alexandria via LeMat-Bulk.

```
4
Lattice="3.323 0.000 0.000 0.000 3.323 0.000 0.000 0.000 5.312" Properties=species:S:1:pos:R:3 pbc="T T T"
Mg 0.000 0.000 0.000
Ni 0.000 0.000 2.656
P 1.661 1.661 1.587
P 1.661 1.661 3.725
```

Calculated values
Final energy (eV/atom): -4.656
Total moment (μB/atom): 0.000

---

Record 3
First-principles (PBE) data for crystalline MgNiP2 at its relaxed geometry, as listed in Alexandria via LeMat-Bulk.

```
16
Lattice="6.125 0.000 0.000 0.000 6.125 0.000 0.000 0.000 6.125" Properties=species:S:1:pos:R:3 pbc="T T T"
Mg 0.000 0.000 0.000
Mg 0.000 3.062 3.062
Mg 3.062 0.000 3.062
Mg 3.062 3.062 0.000
Ni 1.531 1.531 1.531
Ni 1.531 4.594 4.594
Ni 4.594 1.531 4.594
Ni 4.594 4.594 1.531
P 0.000 0.000 3.062
P 0.000 3.062 0.000
P 1.531 1.531 4.594
P 1.531 4.594 1.531
P 3.062 0.000 0.000
P 3.062 3.062 3.062
P 4.594 1.531 1.531
P 4.594 4.594 4.594
```

Calculated values
Final energy (eV/atom): -4.309
Total moment (μB/atom): 0.000